Record 1
VASP calculation (PBE) on an optimized crystal structure of Na4Ag3Br8.

Cell and atoms, written as POSCAR:
```
Na4Ag3Br8
1.0
-2.5084 -7.7824 -1.5505
8.1393 1.9322 0.3873
-1.0550 3.4689 7.5488
Na Ag Br
4 3 8
direct
0.5000 0.0000 0.0000
0.0000 0.5000 0.0000
0.0000 0.0000 0.0000
0.0000 0.0000 0.5000
0.5000 0.5000 0.0000
0.5000 0.0000 0.5000
0.5000 0.5000 0.5000
0.5103 0.2581 0.2581
0.0000 0.7490 0.2510
0.0250 0.2579 0.2579
0.5000 0.7529 0.2471
0.5000 0.2471 0.7529
0.9750 0.7421 0.7421
0.0000 0.2510 0.7490
0.4897 0.7419 0.7419
```

Computed properties:
- DOS(E_F): 0.557 states/eV/atom
- Uncorrected energy: -41.3 eV for the cell shown
- Space-group type: No. 12
- Crystal system: monoclinic
- Magnetization: 0.00 μB/f.u.

=====

Record 2
VASP calculation (PBE) on an optimized crystal structure of NaAg4Br8.

Cell and atoms, written as POSCAR:
```
NaAg4Br8
1.0
7.3123 -4.0414 -0.0584
7.3123 4.0414 -0.0584
5.1317 0.0000 6.5933
Na Ag Br
1 4 8
direct
0.5000 0.5000 0.5000
0.0000 0.0000 0.0000
0.5000 0.5000 0.0000
0.5000 0.0000 0.5000
0.0000 0.5000 0.5000
0.7384 0.7384 0.7384
0.2616 0.2616 0.2616
0.2439 0.2439 0.7395
0.2605 0.7561 0.7561
0.7561 0.7561 0.2605
0.7561 0.2605 0.7561
0.2439 0.7395 0.2439
0.7395 0.2439 0.2439
```

Computed properties:
- DOS(E_F): 1.841 states/eV/atom
- Uncorrected energy: -31.1 eV for the cell shown
- Space-group type: No. 166
- Crystal system: trigonal
- Magnetization: 2.51 μB/f.u.

=====

Record 3
VASP calculation (PBE) on an optimized crystal structure of NaAgBr2.

Cell and atoms, written as POSCAR:
```
NaAgBr2
1.0
-1.7837 2.7861 -1.5261
-3.7709 -0.5081 3.4797
2.4482 3.2832 3.1325
Na Br Ag
1 2 1
direct
0.5000 0.5000 0.5000
0.0000 0.0000 0.5000
0.0000 0.5000 0.0000
0.5000 0.0000 0.0000
```

Computed properties:
- Uncorrected energy: -10.6 eV for the cell shown
- Space-group type: No. 123
- ΔE to the lowest computed polymorph: 0.67 eV per formula unit
- Crystal system: tetragonal
- Magnetization: 0.00 μB/f.u.

=====

Record 4
VASP calculation (PBE) on an optimized crystal structure of NaAgBr2.

Cell and atoms, written as POSCAR:
```
NaAgBr2
1.0
4.1831 0.0000 0.0000
0.0000 4.1831 0.0000
0.0000 0.0000 5.9070
Na Ag Br
1 1 2
direct
0.5000 0.5000 0.8752
0.0000 0.0000 0.3752
0.0000 0.0000 0.8748
0.5000 0.5000 0.3748
```

Computed properties:
- Uncorrected energy: -11.2 eV for the cell shown
- Space-group type: No. 123
- ΔE to the lowest computed polymorph: 0.00 eV per formula unit
- Crystal system: tetragonal
- Magnetization: 0.00 μB/f.u.